Here is KMgFe2 after structural relaxation from the Alexandria database. Energies are from GGA-PBEsol.

Output
Crystal system ... tetragonal
V ... 18.26 A^3/atom
Excess energy over the best structure of this formula in the dataset ... 608.4 meV per atom
E_tot ... -16.2 eV/f.u.
M_tot ... 10.123 μB per cell
Energy of formation from the pure elements ... 1.16 eV per atom

abc: 4.688 4.688 6.646
angles: 90.00 90.00 90.00
Fractional coordinates of all 8 atoms:
1 K 0.000 0.000 0.000
2 K 0.500 0.500 0.500
3 Mg 0.000 0.500 0.750
4 Mg 0.500 0.000 0.250
5 Fe 0.000 0.000 0.500
6 Fe 0.000 0.500 0.250
7 Fe 0.500 0.000 0.750
8 Fe 0.500 0.500 0.000